## Sm3Sb2O2 (PBE)

Data for a geometry-optimized Sm3Sb2O2 structure.

Properties
formation energy (no corrections) = -14.71 eV per formula unit
DOS(E_F) = 3.1 states/eV/f.u.
uncorrected energy = -0.4938 Ry/atom

```
data_Sm3Sb2O2
_cell_length_a 6.637
_cell_length_b 7.053
_cell_length_c 7.840
_cell_angle_alpha 90.00
_cell_angle_beta 113.78
_cell_angle_gamma 90.00
_symmetry_space_group_name_H-M 'P 1 21/c 1'
_symmetry_Int_Tables_number 14
loop_
_symmetry_equiv_pos_as_xyz
'x,y,z'
'-x,-y,-z'
'-x,y+1/2,-z+1/2'
'x,-y+1/2,z+1/2'
loop_
_atom_site_label
_atom_site_type_symbol
_atom_site_fract_x
_atom_site_fract_y
_atom_site_fract_z
Sm1 Sm 0.000 0.000 0.000
Sm2 Sm 0.414 0.165 0.805
Sb1 Sb 0.165 0.588 0.923
O1 O 0.360 0.098 0.078
```